YRe2Au2 | Alexandria | PBE | relaxed; DFT formation energy = 0.334 eV/atom; SG = P4/mbm, No. 127; E above lowest polymorph = 259 meV/atom
1.0
-2.349 -1.361 7.488
-7.413 -1.364 -2.573
0.641 -2.878 -0.322
Re Y Au
4 2 4
Direct
0.893 0.607 0.000 Re
0.393 0.893 0.000 Re
0.107 0.393 0.000 Re
0.607 0.107 0.000 Re
0.000 0.000 0.000 Y
0.500 0.500 0.000 Y
0.688 0.812 0.500 Au
0.188 0.688 0.500 Au
0.812 0.312 0.500 Au
0.312 0.188 0.500 Au

=====

KRb2V2S6 | Alexandria | PBE | relaxed; SG = R-3m, No. 166; raw formation energy = -0.842 eV per atom
1.0
-4.009 -4.096 -4.543
3.191 -5.243 -3.975
-1.658 -8.706 3.426
S Rb K V
6 2 1 2
Direct
0.264 0.752 0.721 S
0.264 0.264 0.721 S
0.248 0.736 0.279 S
0.736 0.248 0.279 S
0.736 0.736 0.279 S
0.752 0.264 0.721 S
0.213 0.213 0.362 Rb
0.787 0.787 0.638 Rb
0.000 0.000 0.000 K
0.556 0.556 0.331 V
0.444 0.444 0.669 V

=====

BaCuPt2 | Alexandria | PBE | relaxed; DFT formation energy = -0.025 eV/atom; SG = Immm, No. 71; E above lowest polymorph = 466 meV/atom
1.0
5.212 -0.661 -0.002
1.017 5.154 0.002
-2.440 -3.181 3.395
Cu Pt Ba
1 2 1
Direct
0.250 0.750 0.500 Cu
0.432 0.432 0.000 Pt
0.068 0.068 0.000 Pt
0.750 0.250 0.500 Ba

=====

Calculated total energy? In order: -36.25 -55.30 -18.20 eV per formula unit.